No. 1
The following is a DFT calculation (PBE) of a relaxed structure of Pr2In2Cu15.

abc: 6.680 6.680 6.680
angles: 82.98 82.98 82.98
Atoms (fractional coordinates):
Pr 0.145 0.145 0.145
Pr 0.855 0.855 0.855
In 0.392 0.392 0.392
In 0.608 0.608 0.608
Cu 0.000 0.500 0.500
Cu 0.151 0.151 0.658
Cu 0.151 0.658 0.151
Cu 0.198 0.500 0.802
Cu 0.198 0.802 0.500
Cu 0.342 0.849 0.849
Cu 0.500 0.000 0.500
Cu 0.500 0.198 0.802
Cu 0.500 0.500 0.000
Cu 0.500 0.802 0.198
Cu 0.658 0.151 0.151
Cu 0.802 0.198 0.500
Cu 0.802 0.500 0.198
Cu 0.849 0.342 0.849
Cu 0.849 0.849 0.342

Values from the calculation:
DFT formation energy in eV/f.u.: -1.593
Density of states at the Fermi level in states/eV/cell: 11.450
Magnetization in μB per formula unit: 0.0
Density in g/cm3: 8.3

No. 2
The following is a DFT calculation (PBE) of a relaxed structure of TiOs2Pd.

abc: 3.772 3.772 18.407
angles: 90.00 90.00 90.00
Atoms (fractional coordinates):
Ti 0.000 0.000 0.000
Ti 0.000 0.500 0.250
Ti 0.500 0.000 0.750
Ti 0.500 0.500 0.500
Os 0.215 0.250 0.125
Os 0.250 0.715 0.375
Os 0.250 0.785 0.875
Os 0.285 0.250 0.625
Os 0.715 0.750 0.625
Os 0.750 0.215 0.875
Os 0.750 0.285 0.375
Os 0.785 0.750 0.125
Pd 0.000 0.000 0.500
Pd 0.000 0.500 0.750
Pd 0.500 0.000 0.250
Pd 0.500 0.500 0.000

Values from the calculation:
DFT formation energy in eV/f.u.: 1.586
Density of states at the Fermi level in states/eV/cell: 21.092
Magnetization in μB per formula unit: 0.0
Density in g/cm3: 13.6

No. 3
The following is a DFT calculation (PBE) of a relaxed structure of Co2AuSe.

abc: 2.845 3.361 6.593
angles: 90.00 90.00 90.00
Atoms (fractional coordinates):
Co 0.000 0.000 0.000
Co 0.500 0.500 0.176
Au 0.500 0.500 0.762
Se 0.000 0.000 0.358

Values from the calculation:
E above lowest polymorph in meV per atom: 0
ΔE_f (raw) in eV per formula unit: 0.8
Density of states at the Fermi level in states/eV/cell: 4.183
Magnetization in μB per formula unit: 2.8
Density in g/cm3: 10.4

No. 4
The following is a DFT calculation (PBE) of a relaxed structure of BeZnTe2.

abc: 13.537 3.568 3.862
angles: 90.00 90.60 90.00
Atoms (fractional coordinates):
Be 0.000 0.000 0.000
Be 0.500 0.500 0.000
Zn 0.261 0.500 0.462
Zn 0.761 0.000 0.462
Te 0.065 0.500 0.470
Te 0.341 0.000 0.967
Te 0.565 0.000 0.470
Te 0.841 0.500 0.967

Values from the calculation:
E above lowest polymorph in meV per atom: 519
ΔE_f (raw) in eV per formula unit: 0.4
Density of states at the Fermi level in states/eV/cell: 0.613
Magnetization in μB per formula unit: 0.0
Density in g/cm3: 5.9

No. 5
The following is a DFT calculation (PBE) of a relaxed structure of GaPd2Pt3.

abc: 7.347 7.347 5.308
angles: 93.99 93.99 137.04
Atoms (fractional coordinates):
Ga 0.155 0.845 0.750
Ga 0.845 0.155 0.250
Pd 0.238 0.241 0.932
Pd 0.241 0.238 0.432
Pd 0.759 0.762 0.568
Pd 0.762 0.759 0.068
Pt 0.062 0.420 0.706
Pt 0.351 0.649 0.250
Pt 0.420 0.062 0.206
Pt 0.580 0.938 0.794
Pt 0.649 0.351 0.750
Pt 0.938 0.580 0.294

Values from the calculation:
E above lowest polymorph in meV per atom: 101
DFT formation energy in eV/f.u.: -0.973
Density of states at the Fermi level in states/eV/cell: 13.380
Magnetization in μB per formula unit: 0.0
Density in g/cm3: 15.0

No. 6
The following is a DFT calculation (PBE) of a relaxed structure of Ac2La6ZnCo.

abc: 7.447 7.450 8.094
angles: 63.36 63.45 89.82
Atoms (fractional coordinates):
Ac 0.000 0.000 0.000
Ac 0.455 0.550 0.000
La 0.393 0.942 0.192
La 0.469 0.528 0.533
La 0.477 0.025 0.520
La 0.917 0.463 0.103
La 0.977 0.526 0.554
La 0.983 0.019 0.528
Zn 0.623 0.169 0.742
Co 0.177 0.726 0.706

Values from the calculation:
DFT formation energy in eV/f.u.: 0.021
Density of states at the Fermi level in states/eV/cell: 11.278
Magnetization in μB per formula unit: 0.0
Density in g/cm3: 6.7

No. 7
The following is a DFT calculation (PBE) of a relaxed structure of Tm2MgV.

abc: 3.558 3.558 7.746
angles: 90.00 90.00 90.00
Atoms (fractional coordinates):
Tm 0.000 0.000 0.218
Tm 0.000 0.000 0.782
Mg 0.500 0.500 0.500
V 0.500 0.500 0.000

Values from the calculation:
E above lowest polymorph in meV per atom: 0
DFT formation energy in eV/f.u.: 0.425
Density of states at the Fermi level in states/eV/cell: 3.028
Magnetization in μB per formula unit: 2.9
Density in g/cm3: 7.0

No. 8
The following is a DFT calculation (PBE) of a relaxed structure of Tl2TeAs.

abc: 3.284 3.284 10.704
angles: 90.00 90.00 90.00
Atoms (fractional coordinates):
Tl 0.000 0.000 0.221
Tl 0.000 0.000 0.779
Te 0.500 0.500 0.500
As 0.500 0.500 0.000

Values from the calculation:
E above lowest polymorph in meV per atom: 69
ΔE_f (raw) in eV per formula unit: 0.3
Density of states at the Fermi level in states/eV/cell: 3.292
Magnetization in μB per formula unit: 0.0
Density in g/cm3: 8.8